# SmPuTlIr PBE optimized geometry
data_SmPuTlIr
_space_group_name_H-M_alt 'P 1'
_space_group_IT_number 1
_cell_length_a 7.296
_cell_length_b 7.296
_cell_length_c 7.296
_cell_angle_alpha 90.00
_cell_angle_beta 90.00
_cell_angle_gamma 90.00
loop_
_space_group_symop_operation_xyz
'x,y,z'
loop_
_atom_site_label
_atom_site_type_symbol
_atom_site_fract_x
_atom_site_fract_y
_atom_site_fract_z
_atom_site_occupancy
Sm1 Sm 0.000 0.000 0.000 1
Sm2 Sm 0.000 0.500 0.500 1
Sm3 Sm 0.500 0.000 0.500 1
Sm4 Sm 0.500 0.500 0.000 1
Pu1 Pu 0.000 0.000 0.500 1
Pu2 Pu 0.000 0.500 0.000 1
Pu3 Pu 0.500 0.000 0.000 1
Pu4 Pu 0.500 0.500 0.500 1
Tl1 Tl 0.250 0.250 0.250 1
Tl2 Tl 0.250 0.750 0.750 1
Tl3 Tl 0.750 0.250 0.750 1
Tl4 Tl 0.750 0.750 0.250 1
Ir1 Ir 0.250 0.250 0.750 1
Ir2 Ir 0.250 0.750 0.250 1
Ir3 Ir 0.750 0.250 0.250 1
Ir4 Ir 0.750 0.750 0.750 1
# **Fermi-level density of states**: 2.0875 states/eV/atom
# **Spin magnetization**: 1.39 μB per atom
# **V**: 24.3 Å³/atom
# **Space group**: No. 216
# **E_form**: -212 meV per atom